1.
KLaBe3 | meta-GGA SCAN | single point on PBEsol structure Values from VASP.

```
&SYSTEM
  ibrav = 0, nat = 5, ntyp = 3
/
ATOMIC_SPECIES
K 39.10 K.upf
La 138.91 La.upf
Be 9.01 Be.upf
CELL_PARAMETERS angstrom
4.895 0.000 0.000
0.000 4.895 0.000
0.000 0.000 4.895
ATOMIC_POSITIONS crystal
K 0.000 0.000 0.000
La 0.500 0.500 0.500
Be 0.000 0.000 0.500
Be 0.000 0.500 0.000
Be 0.500 0.000 0.000
```

Output
- Space group: Pm-3m


2.
KLa2Be | meta-GGA SCAN | single point on PBEsol structure Values from VASP.

```
&SYSTEM
  ibrav = 0, nat = 4, ntyp = 3
/
ATOMIC_SPECIES
K 39.10 K.upf
La 138.91 La.upf
Be 9.01 Be.upf
CELL_PARAMETERS angstrom
3.650 0.000 0.000
0.000 3.650 0.000
0.000 0.000 10.435
ATOMIC_POSITIONS crystal
K 0.000 0.000 0.000
La 0.500 0.500 0.353
La 0.500 0.500 0.647
Be 0.000 0.000 0.500
```

Output
- Space group: P4/mmm


3.
K2LaBeP | meta-GGA SCAN | single point on PBEsol structure Values from VASP.

```
&SYSTEM
  ibrav = 0, nat = 5, ntyp = 4
/
ATOMIC_SPECIES
K 39.10 K.upf
La 138.91 La.upf
Be 9.01 Be.upf
P 30.97 P.upf
CELL_PARAMETERS angstrom
5.991 0.000 0.000
0.000 5.991 0.000
0.000 0.000 5.608
ATOMIC_POSITIONS crystal
K 0.000 0.500 0.000
K 0.500 0.000 0.000
La 0.000 0.000 0.500
Be 0.500 0.500 0.500
P 0.000 0.000 0.000
```

Output
- Space group: P4/mmm


The evaluated calculated volume for the records listed, in turn: 23.5 34.8 40.3 Å³ per atom.
The evaluated energy of formation from the pure elements for the records listed, in turn: 1.604 0.216 0.252 eV/atom.